Here is LaZrBe2 after structural relaxation from Alexandria. Energies are from PBE.

For the final energy, the calculation gives -73.5 eV for the cell shown.

Geometry as CIF:
```
data_LaZrBe2
_chemical_formula_sum 'La4 Zr4 Be8'
_cell_length_a 7.580
_cell_length_b 7.580
_cell_length_c 5.754
_cell_angle_alpha 90.00
_cell_angle_beta 90.00
_cell_angle_gamma 90.00
_space_group_name_H-M_alt 'I -4 2 d'
_space_group_IT_number 122
_space_group_name_Hall 'I -4 2bw'
loop_
_atom_site_label
_atom_site_fract_x
_atom_site_fract_y
_atom_site_fract_z
La1 0.000 0.000 0.000
Zr1 0.000 0.000 0.500
Be1 0.214 0.250 0.625
```